Entry a
VASP calculation (PBE-GGA) on a geometry-optimized PmNd2Dy9 structure.

Output
- DOS at the Fermi energy: 17.38 states/eV/cell

a b c (Å): 5.0526 5.0526 15.1606
angles (deg): 90.00 90.00 90.00
Fractional positions:
Dy1 0.0000 0.5000 0.1662
Nd1 0.0000 0.0000 0.3333
Dy2 0.0000 0.5000 0.5000
Dy3 0.5000 0.0000 0.5000
Dy4 0.5000 0.5000 0.0000
Dy5 0.0000 0.5000 0.8338
Pm1 0.0000 0.0000 0.0000
Dy6 0.5000 0.5000 0.3330
Dy7 0.5000 0.5000 0.6670
Dy8 0.5000 0.0000 0.1662
Dy9 0.5000 0.0000 0.8338
Nd2 0.0000 0.0000 0.6667

---

Entry b
VASP calculation (PBE-GGA) on a geometry-optimized PmNd2Dy9 structure.

Output
- DOS at the Fermi energy: 17.83 states/eV/cell

a b c (Å): 3.5138 11.3092 11.3092
angles (deg): 120.00 90.00 90.00
Fractional positions:
Dy1 0.0000 0.5000 0.0000
Dy2 0.5000 0.8251 0.6502
Dy3 0.5000 0.1749 0.3498
Dy4 0.5000 0.3498 0.1749
Dy5 0.5000 0.1749 0.8251
Dy6 0.0000 0.0000 0.5000
Nd1 0.0000 0.3333 0.6667
Dy7 0.5000 0.8251 0.1749
Pm1 0.0000 0.0000 0.0000
Nd2 0.0000 0.6667 0.3333
Dy8 0.5000 0.6502 0.8251
Dy9 0.0000 0.5000 0.5000

---

We find entry a to be the most stable, with the next structure 39 meV/atom higher.

---

Entry a
VASP calculation (PBE-GGA) on a geometry-optimized PmNd3Dy5 structure.

Output
- DOS at the Fermi energy: 25.00 states/eV/cell

a b c (Å): 6.3716 12.5316 11.5641
angles (deg): 133.74 90.00 104.73
Fractional positions:
Nd1 0.1696 0.6888 0.2068
Nd2 0.4808 0.3112 0.2932
Dy1 0.4612 0.3495 0.6270
Dy2 0.6003 0.0000 0.2500
Dy3 0.5388 0.6505 0.3730
Pm1 0.8752 0.0000 0.7500
Dy4 0.6563 0.6604 0.0468
Nd3 0.8304 0.3112 0.7932
Nd4 0.0000 0.0000 0.5000
Dy5 0.0041 0.6604 0.5468
Nd5 0.0000 0.0000 0.0000
Dy6 0.3437 0.3396 0.9532
Pm2 0.1248 0.0000 0.2500
Nd6 0.5192 0.6888 0.7068
Dy7 0.3997 0.0000 0.7500
Dy8 0.1117 0.6505 0.8730
Dy9 0.9959 0.3396 0.4532
Dy10 0.8883 0.3495 0.1270

---

Entry b
VASP calculation (PBE-GGA) on a geometry-optimized PmNd3Dy5 structure.

Output
- DOS at the Fermi energy: 25.00 states/eV/cell

a b c (Å): 9.5822 9.5822 11.7490
angles (deg): 52.27 52.27 73.01
Fractional positions:
Nd1 0.0000 0.0000 0.0000
Dy1 0.2571 0.7429 0.0000
Dy2 0.1535 0.6523 0.7502
Nd2 0.6973 0.6973 0.8098
Pm1 0.8409 0.8409 0.4059
Dy3 0.5041 0.5041 0.7771
Dy4 0.8465 0.3477 0.2498
Dy5 0.7429 0.2571 0.0000
Nd3 0.6615 0.6615 0.3612
Dy6 0.4959 0.4959 0.2229
Nd4 0.3385 0.3385 0.6388
Nd5 0.0000 0.0000 0.5000
Dy7 0.1824 0.1824 0.0418
Pm2 0.1591 0.1591 0.5941
Dy8 0.6523 0.1535 0.7502
Dy9 0.8176 0.8176 0.9582
Dy10 0.3477 0.8465 0.2498
Nd6 0.3027 0.3027 0.1902

---

We find entry a to be the most stable, with the next structure 217 meV/atom higher.